Entry 1:
Density functional theory data (PBE-GGA) for an optimized crystal structure of MgTiPCl2.

Computed properties:
The excess energy over the best structure of this formula in the dataset comes out at 0 meV/atom. For the total energy, the calculation gives -4.368 eV per atom. The calculation puts the density at 2.61 g cm⁻³. Its density of states at the Fermi level is 2.05 states/eV/f.u.

a b c (Å): 4.6696 4.6696 5.0719
angles (deg): 90.00 90.00 90.00
Last column: nearest neighbours and their distance in Å.
Space group P4/mmm (No. 123)
Inequivalent atoms, fractional coordinates:
Mg: 0.0000 0.0000 0.0000 x1  4 P 3.30, 8 Cl 3.45
Ti: 0.5000 0.5000 0.5000 x1  4 Cl 2.33, 2 P 2.54
P: 0.5000 0.5000 0.0000 x1  2 Ti 2.54
Cl: 0.0000 0.5000 0.5000 x2  2 Ti 2.33

---

Entry 2:
Density functional theory data (PBE-GGA) for an optimized crystal structure of MgTi2PCl.

Computed properties:
For the total energy, the calculation gives -4.019 eV per atom. The calculation puts the density at 2.57 g cm⁻³. Its density of states at the Fermi level is 6.74 states/eV/f.u.

a b c (Å): 5.1962 5.1962 4.4619
angles (deg): 90.00 90.00 90.00
Last column: nearest neighbours and their distance in Å.
Space group P4/mmm (No. 123)
Inequivalent atoms, fractional coordinates:
Mg: 0.0000 0.0000 0.0000 x1  2 P 2.23
Ti: 0.0000 0.5000 0.0000 x2  2 Mg 2.60
P: 0.0000 0.0000 0.5000 x1  2 Mg 2.23
Cl: 0.5000 0.5000 0.5000 x1  8 Ti 3.42, 4 P 3.67

---

Entry 3:
Density functional theory data (PBE-GGA) for an optimized crystal structure of MgTlP2Cl.

Computed properties:
The excess energy over the best structure of this formula in the dataset comes out at 0 meV/atom. For the total energy, the calculation gives -3.144 eV per atom. The calculation puts the density at 4.20 g cm⁻³. Its density of states at the Fermi level is 2.36 states/eV/f.u.

a b c (Å): 4.9823 4.9823 5.1886
angles (deg): 90.00 90.00 90.00
Last column: nearest neighbours and their distance in Å.
Space group P4/mmm (No. 123)
Inequivalent atoms, fractional coordinates:
Mg: 0.0000 0.0000 0.0000 x1  4 P 2.49, 2 Cl 2.59
Tl: 0.5000 0.5000 0.5000 x1  4 Cl 3.52, 8 P 3.60
P: 0.0000 0.5000 0.0000 x2  2 Mg 2.49
Cl: 0.0000 0.0000 0.5000 x1  2 Mg 2.59

---

The records above give, respectively, E_form (uncorrected) values of -0.65; 0.91; 0.18 eV/atom.